Record 1
Compound: Sr2InBiSe5
Source: Alexandria via LeMat-Bulk
Functional: PBE-GGA
Structure: optimized geometry

Space group ... Cmc2_1 (36)
Formation energy (no corrections) ... -10.62 eV/f.u.

a = 4.255 Å, b = 9.673 Å, c = 13.059 Å
α = 90.00°, β = 90.00°, γ = 102.70°
Element x y z (fractional)
1 Sr 0.873 0.745 0.813
2 Sr 0.112 0.223 0.680
3 Sr 0.127 0.255 0.313
4 Sr 0.888 0.777 0.180
5 In 0.557 0.114 0.942
6 In 0.443 0.886 0.442
7 Bi 0.784 0.568 0.524
8 Bi 0.216 0.432 0.024
9 Se 0.362 0.725 0.000
10 Se 0.688 0.376 0.861
11 Se 0.495 0.989 0.767
12 Se 0.281 0.561 0.677
13 Se 0.954 0.908 0.561
14 Se 0.638 0.275 0.500
15 Se 0.312 0.624 0.361
16 Se 0.505 0.011 0.267
17 Se 0.719 0.439 0.177
18 Se 0.046 0.092 0.061


Record 2
Compound: Tl3InBi3Se8
Source: Alexandria via LeMat-Bulk
Functional: PBE-GGA
Structure: optimized geometry

Space group ... R-3m (166)
Formation energy (no corrections) ... -6.20 eV/f.u.

a = 8.442 Å, b = 8.442 Å, c = 8.955 Å
α = 118.13°, β = 90.00°, γ = 120.00°
Element x y z (fractional)
1 Tl 0.000 0.000 0.000
2 Tl 0.000 0.500 0.000
3 Tl 0.500 0.500 0.000
4 In 0.000 0.000 0.500
5 Bi 0.500 0.000 0.500
6 Bi 0.500 0.500 0.500
7 Bi 0.000 0.500 0.500
8 Se 0.258 0.516 0.275
9 Se 0.742 0.484 0.725
10 Se 0.770 0.539 0.286
11 Se 0.230 0.461 0.714
12 Se 0.770 0.016 0.286
13 Se 0.230 0.984 0.714
14 Se 0.247 0.016 0.286
15 Se 0.753 0.984 0.714


Record 3
Compound: TlIn4BiSe8
Source: Alexandria via LeMat-Bulk
Functional: PBE-GGA
Structure: optimized geometry

Space group ... R3m (160)
Formation energy (no corrections) ... -5.93 eV/f.u.

a = 8.366 Å, b = 8.366 Å, c = 8.527 Å
α = 60.62°, β = 60.62°, γ = 60.00°
Element x y z (fractional)
1 Tl 0.368 0.368 0.895
2 In 0.625 0.625 0.126
3 In 0.001 0.498 0.501
4 In 0.498 0.001 0.501
5 In 0.001 0.001 0.501
6 Bi 0.006 0.006 0.982
7 Se 0.247 0.786 0.720
8 Se 0.786 0.247 0.720
9 Se 0.247 0.247 0.720
10 Se 0.232 0.232 0.303
11 Se 0.752 0.224 0.272
12 Se 0.224 0.752 0.272
13 Se 0.752 0.752 0.272
14 Se 0.761 0.761 0.716